Here is a geometry-optimized BeHg2H2 structure from Alexandria. Energies are from GGA-PBEsol.

Geometry as POSCAR:
```
BeHg2H2
1.0
-2.279 2.279 3.065
2.279 -2.279 3.065
2.279 2.279 -3.065
Be Hg H
1 2 2
direct
0.000 0.000 0.000 Be
0.250 0.750 0.500 Hg
0.750 0.250 0.500 Hg
0.436 0.436 0.000 H
0.564 0.564 0.000 H
```

Properties
DFT total energy ... -0.0722 Ha/atom